Below is crystalline Be2InPt2 at its relaxed geometry, with properties calculated at the PBE level.

The structure belongs to space group P4/mbm (No. 127); the cell edges are 6.982, 6.982 and 2.793 Å and the angles 90.00°, 90.00° and 90.00°. The asymmetric unit holds Be at (0.122, 0.378, 0.000), In at (0.000, 0.000, 0.000) and Pt at (0.163, 0.663, 0.500).

As for the density: 12.76 Mg/m³. The calculation puts the formation energy at -0.503 eV per atom. As for the energy above the lowest structure with this stoichiometry: 9 meV/atom. The density of states at the Fermi level is 2.0 states/eV per cell.